1.
LaY4Er15: optimized geometry, GGA-PBE.

Cell: 4.9966 4.9966 24.9790 Å, 90.00 90.00 90.00°
With the nearest neighbours (Å) after each atom.
Fractional coordinates of all 20 atoms:
La 0.0000 0.0000 0.0000  12 Er 3.53-3.57
Y 0.0000 0.0000 0.2010  12 Er 3.51-3.53
Y 0.0000 0.0000 0.4005  12 Er 3.52-3.53
Y 0.0000 0.0000 0.5995  12 Er 3.52-3.53
Y 0.0000 0.0000 0.7990  12 Er 3.51-3.53
Er 0.5000 0.5000 0.0000  4 La 3.53, 8 Er 3.57
Er 0.5000 0.5000 0.2020  8 Er 3.51-3.53, 4 Y 3.53
Er 0.5000 0.5000 0.4004  8 Er 3.52-3.53, 4 Y 3.53
Er 0.5000 0.5000 0.5996  8 Er 3.52-3.53, 4 Y 3.53
Er 0.5000 0.5000 0.7980  8 Er 3.51-3.53, 4 Y 3.53
Er 0.5000 0.0000 0.1022  2 Y 3.51, 8 Er 3.53-3.57, 2 La 3.57
Er 0.5000 0.0000 0.3009  8 Er 3.51-3.53, 4 Y 3.53
Er 0.5000 0.0000 0.5000  4 Y 3.52, 8 Er 3.53
Er 0.5000 0.0000 0.6991  8 Er 3.51-3.53, 4 Y 3.53
Er 0.5000 0.0000 0.8978  2 Y 3.51, 8 Er 3.53-3.57, 2 La 3.57
Er 0.0000 0.5000 0.1022  2 Y 3.51, 8 Er 3.53-3.57, 2 La 3.57
Er 0.0000 0.5000 0.3009  8 Er 3.51-3.53, 4 Y 3.53
Er 0.0000 0.5000 0.5000  4 Y 3.52, 8 Er 3.53
Er 0.0000 0.5000 0.6991  8 Er 3.51-3.53, 4 Y 3.53
Er 0.0000 0.5000 0.8978  2 Y 3.51, 8 Er 3.53-3.57, 2 La 3.57

Computed properties:
- Volume: 31.18 A^3/atom
- Formation energy: 0.028 eV/atom
- Crystal system: tetragonal



2.
LiPmAu2: optimized geometry, GGA-PBE.

Cell: 3.6878 4.8543 4.8543 Å, 90.00 90.00 90.00°
With the nearest neighbours (Å) after each atom.
Fractional coordinates of all 4 atoms:
Li 0.5000 0.0000 0.0000  8 Au 3.05
Au 0.0000 0.0000 0.5000  4 Li 3.05, 4 Pm 3.05
Au 0.0000 0.5000 0.0000  4 Li 3.05, 4 Pm 3.05
Pm 0.5000 0.5000 0.5000  8 Au 3.05

Computed properties:
- Volume: 21.73 A^3/atom
- Formation energy: -0.610 eV/atom
- Excess energy over the best structure of this formula in the dataset: 0.0957 eV/atom
- Crystal system: tetragonal



3.
SiSbN2F: optimized geometry, GGA-PBE.

Cell: 4.0954 4.0954 4.0833 Å, 90.00 90.00 90.00°
With the nearest neighbours (Å) after each atom.
Fractional coordinates of all 5 atoms:
Sb 0.0000 0.0000 0.0000  2 F 2.04, 4 N 2.05
Si 0.5000 0.5000 0.5000  8 N 2.89, 4 F 2.90
N 0.0000 0.5000 0.0000  2 Sb 2.05
N 0.5000 0.0000 0.0000  2 Sb 2.05
F 0.0000 0.0000 0.5000  2 Sb 2.04

Computed properties:
- Uncorrected formation energy: 617 meV per atom
- Volume: 13.70 A^3/atom
- Excess energy over the best structure of this formula in the dataset: 0.8872 eV/atom
- Crystal system: tetragonal



4.
Dy2Cd3Ag4: optimized geometry, GGA-PBE.

Cell: 4.8741 4.9541 9.2074 Å, 87.64 89.99 60.53°
With the nearest neighbours (Å) after each atom.
Fractional coordinates of all 9 atoms:
Dy 0.3281 0.3440 0.7748  7 Ag 2.99-3.08, 3 Cd 3.27-3.33
Dy 0.6719 0.6560 0.2252  7 Ag 2.99-3.08, 3 Cd 3.27-3.33
Cd 0.3409 0.3179 0.4208  4 Ag 2.90-2.95, 1 Cd 3.04
Cd 0.0000 0.0000 0.0000  8 Ag 2.98-3.21
Cd 0.6590 0.6821 0.5792  4 Ag 2.90-2.95, 1 Cd 3.04
Ag 0.6637 0.6726 0.9002  4 Cd 2.95-3.00, 4 Dy 2.99-3.07
Ag 0.0104 0.9790 0.3486  1 Ag 2.80, 3 Cd 2.90-2.93, 3 Dy 3.05-3.08
Ag 0.9896 0.0210 0.6514  1 Ag 2.80, 3 Cd 2.90-2.93, 3 Dy 3.05-3.08
Ag 0.3363 0.3274 0.0998  4 Cd 2.95-3.00, 4 Dy 2.99-3.07

Computed properties:
- Volume: 21.48 A^3/atom
- Formation energy: -0.236 eV/atom
- Excess energy over the best structure of this formula in the dataset: 0.0000 eV/atom
- Crystal system: monoclinic



5.
CsNa3Cr: optimized geometry, GGA-PBE.

Cell: 6.6038 6.6038 6.6038 Å, 90.00 90.00 90.00°
With the nearest neighbours (Å) after each atom.
Fractional coordinates of all 5 atoms:
Cs 0.0000 0.0000 0.0000  6 Na 3.30
Na 0.0000 0.5000 0.0000  2 Cs 3.30
Na 0.0000 0.0000 0.5000  2 Cs 3.30
Na 0.5000 0.0000 0.0000  2 Cs 3.30
Cr 0.5000 0.5000 0.5000  12 Na 4.67

Computed properties:
- Volume: 57.60 A^3/atom
- Formation energy: 1.156 eV/atom
- Excess energy over the best structure of this formula in the dataset: 0.6328 eV/atom
- Crystal system: cubic



6.
PbAu3: optimized geometry, GGA-PBE.

Cell: 9.1849 9.1849 9.1849 Å, 20.86 20.86 20.86°
With the nearest neighbours (Å) after each atom.
Fractional coordinates of all 4 atoms:
Pb 0.0000 0.0000 0.0000  6 Au 3.09, 6 Pb 3.33
Au 0.7565 0.7565 0.7565  3 Au 2.82, 3 Pb 3.09
Au 0.5000 0.5000 0.5000  6 Au 2.82
Au 0.2435 0.2435 0.2435  3 Au 2.82, 3 Pb 3.09

Computed properties:
- Volume: 21.50 A^3/atom
- Formation energy: 0.086 eV/atom
- Crystal system: trigonal